First-principles (PBE-GGA) data for a geometry-optimized Na3Pb6Cl14 structure, as listed in the Alexandria database.

abc: 7.1523 10.2908 10.2908
angles: 120.00 90.00 90.00
With the nearest neighbours (Å) after each atom.
Fractional positions:
Pb: 0.2487 0.8514 0.1422  6 Cl 2.91-3.14
Pb: 0.2487 0.8578 0.7092  6 Cl 2.91-3.14
Pb: 0.7734 0.0389 0.5169  6 Cl 2.91-3.20
Pb: 0.7734 0.4780 0.9611  6 Cl 2.91-3.20
Pb: 0.2487 0.2908 0.1486  6 Cl 2.91-3.14
Pb: 0.7734 0.4831 0.5220  6 Cl 2.91-3.20
Cl: 0.0256 0.1230 0.2523  1 Na 2.74, 2 Pb 2.91-2.92
Cl: 0.1971 0.9236 0.4599  1 Na 2.88, 3 Pb 2.99-3.20
Cl: 0.5509 0.2076 0.7886  1 Na 2.72, 2 Pb 2.91-2.92
Cl: 0.4375 0.0000 0.0000  1 Na 2.64, 3 Pb 2.92
Cl: 0.6608 0.7937 0.2043  1 Na 2.77, 2 Pb 3.04-3.06
Cl: 0.0256 0.7477 0.8707  1 Na 2.74, 2 Pb 2.91-2.92
Cl: 0.6608 0.4106 0.2063  1 Na 2.77, 2 Pb 3.04-3.06
Cl: 0.5509 0.2114 0.4190  1 Na 2.72, 2 Pb 2.91-2.92
Cl: 0.1971 0.5363 0.0764  1 Na 2.88, 3 Pb 2.99-3.20
Cl: 0.6608 0.7957 0.5894  1 Na 2.77, 2 Pb 3.04-3.06
Cl: 0.9595 0.3333 0.6667  1 Na 2.64, 3 Pb 2.94
Cl: 0.1971 0.5401 0.4637  1 Na 2.88, 3 Pb 2.99-3.20
Cl: 0.0256 0.1293 0.8770  1 Na 2.74, 2 Pb 2.91-2.92
Cl: 0.5509 0.5810 0.7924  1 Na 2.72, 2 Pb 2.91-2.92
Na: 0.8069 0.0000 0.0000  4 Cl 2.64-2.74
Na: 0.4407 0.6667 0.3333  6 Cl 2.77-2.88
Na: 0.3291 0.3333 0.6667  4 Cl 2.64-2.72

Summary:
space-group type = No. 143
E_form (uncorrected) = -1.215 eV per atom